DFT (PBE) results for PmYCoPt after structural relaxation.

Cell: 6.9638 6.9638 6.9638 Å, 90.00 90.00 90.00°
Space group F-43m (No. 216)
Inequivalent atoms, fractional coordinates:
Pm1 0.0000 0.0000 0.0000
Y1 0.0000 0.0000 0.5000
Co1 0.2500 0.2500 0.2500
Pt1 0.2500 0.2500 0.7500

E   -0.489 Ry per atom
Energy of formation from the pure elements   -0.57 eV per atom
Fermi-level density of states   0.8410 states/eV per atom

DFT (PBE) results for PmPuCo after structural relaxation.

Cell: 3.7428 4.7705 7.6349 Å, 90.00 90.00 90.00°
Space group Pmmn (No. 59, origin choice 2)
Inequivalent atoms, fractional coordinates:
Pm1 0.2500 0.2500 0.1364
Pu1 0.2500 0.7500 0.4594
Co1 0.2500 0.2500 0.7622

E   -0.640 Ry per atom
Energy of formation from the pure elements   0.02 eV per atom
Energy above the most stable polymorph in this dataset   29.5 meV per atom
Fermi-level density of states   2.3573 states/eV per atom

DFT (PBE) results for Pm3PuCo3 after structural relaxation.

Cell: 12.1702 3.9283 14.3345 Å, 90.00 114.11 90.00°
Space group C2/m (No. 12)
Inequivalent atoms, fractional coordinates:
Pm1 0.0000 0.0000 0.1365
Pm2 0.0943 0.0000 0.4220
Pm3 0.2349 0.0000 0.7074
Pu1 0.2361 0.5000 0.9035
Co1 0.0689 0.5000 0.7313
Co2 0.0854 0.5000 0.5729
Co3 0.1092 0.5000 0.0408

E   -0.529 Ry per atom
Energy of formation from the pure elements   -0.06 eV per atom
Fermi-level density of states   1.6248 states/eV per atom

DFT (PBE) results for PmPuCo after structural relaxation.

Cell: 8.0775 3.9363 8.5481 Å, 90.00 90.00 90.00°
Space group Pnma (No. 62)
Inequivalent atoms, fractional coordinates:
Pm1 0.0256 0.2500 0.1727
Pu1 0.1543 0.2500 0.5562
Co1 0.2324 0.7500 0.3653

E   -0.642 Ry per atom
Energy of formation from the pure elements   -0.01 eV per atom
Energy above the most stable polymorph in this dataset   0.0 meV per atom
Fermi-level density of states   2.5362 states/eV per atom

DFT (PBE) results for PmPuCo10 after structural relaxation.

Cell: 3.9597 4.9357 8.5256 Å, 90.00 90.00 90.00°
Space group Pmmm (No. 47)
Inequivalent atoms, fractional coordinates:
Pm1 0.0000 0.0000 0.0000
Pu1 0.0000 0.5000 0.5000
Co1 0.0000 0.0000 0.3441
Co2 0.0000 0.5000 0.1820
Co3 0.5000 0.0000 0.5000
Co4 0.5000 0.2511 0.2537
Co5 0.5000 0.5000 0.0000

E   -0.557 Ry per atom
Energy of formation from the pure elements   -0.07 eV per atom
Fermi-level density of states   1.5782 states/eV per atom

DFT (PBE) results for Pm2PuCo after structural relaxation.

Cell: 3.6202 3.6202 30.8793 Å, 90.00 90.00 120.00°
Space group R-3m (No. 166, hexagonal axes)
Inequivalent atoms, fractional coordinates:
Pm1 0.0000 0.0000 0.1114
Pu1 0.0000 0.0000 0.0000
Co1 0.0000 0.0000 0.5000

E   -0.545 Ry per atom
Energy of formation from the pure elements   0.32 eV per atom
Energy above the most stable polymorph in this dataset   218.1 meV per atom
Fermi-level density of states   2.9418 states/eV per atom

DFT (PBE) results for PmPu2Co9 after structural relaxation.

Cell: 4.9457 4.9457 24.4535 Å, 90.00 90.00 120.00°
Space group R-3m (No. 166, hexagonal axes)
Inequivalent atoms, fractional coordinates:
Pm1 0.0000 0.0000 0.0000
Pu1 0.0000 0.0000 0.1402
Co1 0.0000 0.0000 0.3334
Co2 0.0000 0.0000 0.5000
Co3 0.0007 0.5003 0.9178

E   -0.606 Ry per atom
Energy of formation from the pure elements   -0.13 eV per atom
Fermi-level density of states   1.8455 states/eV per atom

DFT (PBE) results for Pm3PuCo8 after structural relaxation.

Cell: 5.0262 5.0262 25.7220 Å, 90.00 90.00 120.00°
Space group R3m (No. 160, hexagonal axes)
Inequivalent atoms, fractional coordinates:
Pm1 0.0000 0.0000 0.0000
Pm2 0.0000 0.0000 0.1242
Pm3 0.0000 0.0000 0.6238
Pu1 0.0000 0.0000 0.5022
Co1 0.0000 0.0000 0.3129
Co2 0.0000 0.0000 0.8150
Co3 0.0021 0.5010 0.0629
Co4 0.1681 0.3363 0.8940

E   -0.528 Ry per atom
Energy of formation from the pure elements   -0.07 eV per atom
Fermi-level density of states   1.4888 states/eV per atom

DFT (PBE) results for PmPuCo after structural relaxation.

Cell: 4.2175 4.2175 4.6238 Å, 90.00 90.00 120.00°
Space group P-6m2 (No. 187)
Inequivalent atoms, fractional coordinates:
Pm1 0.0000 0.0000 0.0000
Pu1 0.6667 0.3333 0.5000
Co1 0.3333 0.6667 0.5000

E   -0.630 Ry per atom
Energy of formation from the pure elements   0.16 eV per atom
Energy above the most stable polymorph in this dataset   176.0 meV per atom
Fermi-level density of states   2.6607 states/eV per atom

DFT (PBE) results for Pm2PuCo after structural relaxation.

Cell: 3.4580 3.4580 8.7211 Å, 90.00 90.00 90.00°
Space group P4/mmm (No. 123)
Inequivalent atoms, fractional coordinates:
Pm1 0.0000 0.0000 0.1946
Pu1 0.5000 0.5000 0.5000
Co1 0.5000 0.5000 0.0000

E   -0.561 Ry per atom
Energy of formation from the pure elements   0.10 eV per atom
Energy above the most stable polymorph in this dataset   0.0 meV per atom
Fermi-level density of states   1.9779 states/eV per atom

DFT (PBE) results for Pm3Pu2Co4 after structural relaxation.

Cell: 11.0806 4.0044 8.7414 Å, 90.00 102.26 90.00°
Space group C2/m (No. 12)
Inequivalent atoms, fractional coordinates:
Pm1 0.0000 0.0000 0.0000
Pm2 0.1221 0.5000 0.3849
Pu1 0.1791 0.5000 0.7842
Co1 0.0850 0.0000 0.6320
Co2 0.2156 0.5000 0.0859

E   -0.590 Ry per atom
Energy of formation from the pure elements   -0.10 eV per atom
Fermi-level density of states   1.5760 states/eV per atom

DFT (PBE) results for Pm2PuCo3 after structural relaxation.

Cell: 5.6941 5.6941 7.9445 Å, 90.00 90.00 120.00°
Space group P6_3/mmc (No. 194)
Inequivalent atoms, fractional coordinates:
Pm1 0.3333 0.6667 0.0614
Pu1 0.0000 0.0000 0.0000
Co1 0.1772 0.3543 0.7500

E   -0.554 Ry per atom
Energy of formation from the pure elements   -0.02 eV per atom
Fermi-level density of states   1.7132 states/eV per atom